A plane-wave DFT calculation with PBE-GGA was carried out for a relaxed structure of BaLiTaPd.

Cell: 4.8784 4.8784 4.8784 Å, 60.00 60.00 60.00°
Positions (direct):
Ba: 0.0000 0.0000 0.0000
Li: 0.7500 0.7500 0.7500
Pd: 0.5000 0.5000 0.5000
Ta: 0.2500 0.2500 0.2500

Output
SG: F-43m (216)
total DFT energy (no corrections): -4.658 eV per atom
spin magnetization: 0.000 μB per atom



A plane-wave DFT calculation with PBE-GGA was carried out for a relaxed structure of GdPbSO.

Cell: 4.5410 4.5410 11.3454 Å, 101.54 101.54 60.00°
Positions (direct):
Gd: 0.7805 0.7805 0.3416
Gd: 0.2195 0.2195 0.6584
O: 0.7159 0.7159 0.1478
O: 0.2841 0.2841 0.8522
Pb: 0.3695 0.3695 0.1086
Pb: 0.6305 0.6305 0.8914
S: 0.1286 0.1286 0.3859
S: 0.8714 0.8714 0.6141

Output
SG: R-3m (166)
total DFT energy (no corrections): -5.843 eV per atom
spin magnetization: 0.001 μB per atom



A plane-wave DFT calculation with PBE-GGA was carried out for a relaxed structure of Gd2TmAl3Cu3.

Cell: 4.0193 7.0378 7.0378 Å, 120.16 90.00 90.00°
Positions (direct):
Al: 0.5000 0.2355 0.0022
Al: 0.5000 0.0022 0.2355
Al: 0.5000 0.7646 0.7646
Cu: 0.0000 0.0038 0.0038
Cu: 0.5000 0.6616 0.3353
Cu: 0.5000 0.3353 0.6616
Gd: 0.0000 0.9989 0.5845
Gd: 0.0000 0.5845 0.9989
Tm: 0.0000 0.4135 0.4135

Output
SG: Amm2 (38)
total DFT energy (no corrections): -4.466 eV per atom
spin magnetization: 0.000 μB per atom



A plane-wave DFT calculation with PBE-GGA was carried out for a relaxed structure of TlNiAu3.

Cell: 4.8829 4.8829 4.8829 Å, 90.00 90.00 90.00°
Positions (direct):
Au: 0.5000 0.0000 0.0000
Au: 0.0000 0.5000 0.0000
Au: 0.0000 0.0000 0.5000
Ni: 0.0000 0.0000 0.0000
Tl: 0.5000 0.5000 0.5000

Output
SG: Pm-3m (221)
total DFT energy (no corrections): -3.157 eV per atom
spin magnetization: 0.036 μB per atom



A plane-wave DFT calculation with PBE-GGA was carried out for a relaxed structure of MgPaCo.

Cell: 4.5612 4.5612 4.5612 Å, 60.00 60.00 60.00°
Positions (direct):
Co: 0.2500 0.2500 0.2500
Mg: 0.7500 0.7500 0.7500
Pa: 0.0000 0.0000 0.0000

Output
SG: F-43m (216)
total DFT energy (no corrections): -4.981 eV per atom
spin magnetization: 0.005 μB per atom



A plane-wave DFT calculation with PBE-GGA was carried out for a relaxed structure of GdErMg2.

Cell: 5.4561 6.8948 6.8948 Å, 121.80 90.00 90.00°
Positions (direct):
Er: 0.7500 0.6759 0.3431
Er: 0.2500 0.3431 0.6759
Gd: 0.2500 0.3148 0.1598
Gd: 0.7500 0.1598 0.3148
Mg: 0.2500 0.8311 0.1804
Mg: 0.2500 0.8295 0.6655
Mg: 0.7500 0.6655 0.8295
Mg: 0.7500 0.1804 0.8311

Output
SG: Ama2 (40)
total DFT energy (no corrections): -3.060 eV per atom
spin magnetization: 0.003 μB per atom



A plane-wave DFT calculation with PBE-GGA was carried out for a relaxed structure of NaYAgTe3.

Cell: 7.8598 7.8598 11.2069 Å, 90.00 90.00 149.12°
Positions (direct):
Ag: 0.4700 0.5300 0.2500
Ag: 0.5300 0.4700 0.7500
Na: 0.7691 0.2309 0.2500
Na: 0.2309 0.7691 0.7500
Te: 0.3568 0.6432 0.0553
Te: 0.0943 0.9057 0.2500
Te: 0.3568 0.6432 0.4447
Te: 0.6432 0.3568 0.5553
Te: 0.9057 0.0943 0.7500
Te: 0.6432 0.3568 0.9447
Y: 0.0000 0.0000 0.0000
Y: 0.0000 0.0000 0.5000

Output
SG: Cmcm (63)
total DFT energy (no corrections): -4.174 eV per atom
spin magnetization: 0.002 μB per atom



A plane-wave DFT calculation with PBE-GGA was carried out for a relaxed structure of PrHo2Mg3Ir2Pt.

Cell: 4.0621 7.3764 7.3764 Å, 120.09 90.00 90.00°
Positions (direct):
Ho: 0.0000 0.5883 0.0003
Ho: 0.0000 0.0003 0.5883
Ir: 0.5000 0.6736 0.3304
Ir: 0.5000 0.3304 0.6736
Mg: 0.5000 0.9958 0.2460
Mg: 0.5000 0.7567 0.7567
Mg: 0.5000 0.2460 0.9958
Pr: 0.0000 0.4164 0.4164
Pt: 0.0000 0.9926 0.9926

Output
SG: Amm2 (38)
total DFT energy (no corrections): -5.461 eV per atom
spin magnetization: 0.000 μB per atom



A plane-wave DFT calculation with PBE-GGA was carried out for a relaxed structure of Sr2SiIr.

Cell: 4.2593 5.9616 5.9616 Å, 47.63 90.00 90.00°
Positions (direct):
Ir: 0.0000 0.9547 0.9547
Si: 0.5000 0.0452 0.0452
Sr: 0.5000 0.3549 0.3549
Sr: 0.0000 0.6452 0.6452

Output
SG: Amm2 (38)
total DFT energy (no corrections): -4.905 eV per atom
spin magnetization: 0.000 μB per atom



A plane-wave DFT calculation with PBE-GGA was carried out for a relaxed structure of Er2Lu5Te2Ir2.

Cell: 9.2297 9.2297 9.2297 Å, 155.62 66.31 119.40°
Positions (direct):
Er: 0.5607 0.4142 0.1465
Er: 0.2676 0.4142 0.8535
Ir: 0.0148 0.7532 0.2616
Ir: 0.4917 0.7532 0.7384
Lu: 0.2382 0.0533 0.1849
Lu: 0.6329 0.2656 0.3673
Lu: 0.1827 0.6827 0.5000
Lu: 0.8983 0.2656 0.6327
Lu: 0.8685 0.0533 0.8151
Te: 0.9177 0.9177 0.0000
Te: 0.5216 0.0216 0.5000

Output
SG: Imm2 (44)
total DFT energy (no corrections): -6.000 eV per atom
spin magnetization: 0.001 μB per atom



A plane-wave DFT calculation with PBE-GGA was carried out for a relaxed structure of BaNdGe.

Cell: 5.3597 5.3597 5.3597 Å, 60.00 60.00 60.00°
Positions (direct):
Ba: 0.2500 0.2500 0.2500
Ge: 0.0000 0.0000 0.0000
Nd: 0.7500 0.7500 0.7500

Output
SG: F-43m (216)
total DFT energy (no corrections): -4.083 eV per atom
spin magnetization: 0.267 μB per atom



A plane-wave DFT calculation with PBE-GGA was carried out for a relaxed structure of LuTlCoS3.

Cell: 7.3680 7.3680 10.1981 Å, 90.00 90.00 30.19°
Positions (direct):
Co: 0.4674 0.4674 0.2500
Co: 0.5326 0.5326 0.7500
Lu: 0.0000 0.0000 0.0000
Lu: 0.0000 0.0000 0.5000
S: 0.3787 0.3787 0.0674
S: 0.0590 0.0590 0.2500
S: 0.3787 0.3787 0.4326
S: 0.6213 0.6213 0.5674
S: 0.9410 0.9410 0.7500
S: 0.6213 0.6213 0.9326
Tl: 0.7454 0.7454 0.2500
Tl: 0.2546 0.2546 0.7500

Output
SG: Cmcm (63)
total DFT energy (no corrections): -5.404 eV per atom
spin magnetization: 0.495 μB per atom



A plane-wave DFT calculation with PBE-GGA was carried out for a relaxed structure of Zr4CuGeN2.

Cell: 3.2763 3.2763 13.5907 Å, 90.00 90.00 120.00°
Positions (direct):
Cu: 0.3333 0.6667 0.0000
Ge: 0.6667 0.3333 0.5000
N: 0.0000 0.0000 0.2463
N: 0.0000 0.0000 0.7537
Zr: 0.6667 0.3333 0.1535
Zr: 0.3333 0.6667 0.3414
Zr: 0.3333 0.6667 0.6586
Zr: 0.6667 0.3333 0.8465

Output
SG: P-6m2 (187)
total DFT energy (no corrections): -8.385 eV per atom
spin magnetization: 0.000 μB per atom



A plane-wave DFT calculation with PBE-GGA was carried out for a relaxed structure of Y4Mo2S3N3.

Cell: 6.0125 6.0129 12.5118 Å, 76.95 76.95 60.28°
Positions (direct):
Mo: 0.6107 0.4732 0.0932
Mo: 0.5268 0.3892 0.4069
Mo: 0.4732 0.6108 0.5931
Mo: 0.3893 0.5268 0.9068
N: 0.6699 0.1616 0.0000
N: 0.0000 0.5000 0.0000
N: 0.3301 0.8384 0.0000
N: 0.8384 0.3301 0.5000
N: 0.5000 0.0000 0.5000
N: 0.1616 0.6699 0.5000
S: 0.5783 0.7150 0.2478
S: 0.8740 0.1260 0.2500
S: 0.2850 0.4217 0.2522
S: 0.7150 0.5783 0.7478
S: 0.1260 0.8740 0.7500
S: 0.4217 0.2850 0.7522
Y: 0.2985 0.1440 0.1037
Y: 0.9735 0.7927 0.1038
Y: 0.2073 0.0266 0.3962
Y: 0.8561 0.7015 0.3963
Y: 0.1439 0.2985 0.6037
Y: 0.7927 0.9734 0.6038
Y: 0.0265 0.2073 0.8962
Y: 0.7015 0.8560 0.8963

Output
SG: C2/c (15)
total DFT energy (no corrections): -8.340 eV per atom
spin magnetization: 0.004 μB per atom



A plane-wave DFT calculation with PBE-GGA was carried out for a relaxed structure of Hf3Co2W2.

Cell: 7.7041 7.7041 7.7041 Å, 33.75 33.75 33.75°
Positions (direct):
Co: 0.2482 0.2482 0.2482
Co: 0.7607 0.7607 0.7607
Hf: 0.3728 0.3728 0.3728
Hf: 0.6223 0.6223 0.6223
Hf: 0.8740 0.8740 0.8740
W: 0.0061 0.0061 0.0061
W: 0.4909 0.4909 0.4909

Output
calculated formation energy: 0.56 eV per atom
SG: R3m (160)
spin magnetization: 0.009 μB per atom



A plane-wave DFT calculation with PBE-GGA was carried out for a relaxed structure of SmReNi.

Cell: 4.5303 4.5303 4.5303 Å, 60.00 60.00 60.00°
Positions (direct):
Ni: 0.2500 0.2500 0.2500
Re: 0.7500 0.7500 0.7500
Sm: 0.0000 0.0000 0.0000

Output
calculated formation energy: 1.49 eV per atom
SG: F-43m (216)
spin magnetization: 0.821 μB per atom



A plane-wave DFT calculation with PBE-GGA was carried out for a relaxed structure of LiCdN.

Cell: 6.0812 6.0812 3.5711 Å, 90.00 90.00 120.00°
Positions (direct):
Cd: 0.2790 0.0000 0.0000
Cd: 0.0000 0.2790 0.0000
Cd: 0.7210 0.7210 0.0000
Li: 0.6059 0.0000 0.5000
Li: 0.3941 0.3941 0.5000
Li: 0.0000 0.6059 0.5000
N: 0.6667 0.3333 0.0000
N: 0.3333 0.6667 0.0000
N: 0.0000 0.0000 0.5000

Output
SG: P-62m (189)
total DFT energy (no corrections): -3.488 eV per atom



A plane-wave DFT calculation with PBE-GGA was carried out for a relaxed structure of Nb2SiGeSb2.

Cell: 3.7064 3.7064 8.2602 Å, 90.00 90.00 90.00°
Positions (direct):
Ge: 0.5000 0.5000 0.0000
Nb: 0.5000 0.0000 0.2422
Nb: 0.0000 0.5000 0.7578
Sb: 0.0000 0.5000 0.3851
Sb: 0.5000 0.0000 0.6149
Si: 0.0000 0.0000 0.0000

Output
SG: P-4m2 (115)
total DFT energy (no corrections): -6.792 eV per atom
spin magnetization: 0.000 μB per atom



A plane-wave DFT calculation with PBE-GGA was carried out for a relaxed structure of RbAsPd.

Cell: 4.9481 4.9481 4.9481 Å, 60.00 60.00 60.00°
Positions (direct):
As: 0.0000 0.0000 0.0000
Pd: 0.2500 0.2500 0.2500
Rb: 0.7500 0.7500 0.7500

Output
SG: F-43m (216)
total DFT energy (no corrections): -3.147 eV per atom



A plane-wave DFT calculation with PBE-GGA was carried out for a relaxed structure of GaCuIr2.

Cell: 4.3194 4.3194 4.3194 Å, 60.00 60.00 60.00°
Positions (direct):
Cu: 0.2500 0.2500 0.2500
Ga: 0.5000 0.5000 0.5000
Ir: 0.0000 0.0000 0.0000
Ir: 0.7500 0.7500 0.7500

Output
SG: F-43m (216)
total DFT energy (no corrections): -6.013 eV per atom
spin magnetization: 0.282 μB per atom